{
  "formula": "Al3NiP2",
  "functional": "GGA-PBE",
  "state": "optimized geometry",
  "lattice": [[-7.4977, -0.1498, -4.1055], [0.5520, -2.9474, 8.0063], [-0.9791, 4.2521, 1.6329]],
  "species": ["P", "P", "P", "P", "P", "P", "Al", "Al", "Al", "Al", "Al", "Al", "Al", "Al", "Al", "Ni", "Ni", "Ni"],
  "frac_coords": [[0.1625, 0.8375, 0.5000], [0.6750, 0.8375, 0.5000], [0.8375, 0.1625, 0.5000], [0.3250, 0.1625, 0.5000], [0.8375, 0.6750, 0.5000], [0.1625, 0.3250, 0.5000], [0.6603, 0.0000, 0.0000], [0.3396, 0.3396, 0.0000], [0.5000, 0.0000, 0.5000], [0.0000, 0.5000, 0.5000], [0.0000, 0.3397, 0.0000], [0.6604, 0.6604, 0.0000], [0.3397, 0.0000, 0.0000], [0.5000, 0.5000, 0.5000], [0.0000, 0.6603, 0.0000], [0.0000, 0.0000, 0.5000], [0.6667, 0.3333, 0.0000], [0.3333, 0.6667, 0.0000]],
  "formation_energy_ev_per_atom": 0.297,
  "relative_energy_mev_per_atom": 0
}


{
  "formula": "Al2NiP",
  "functional": "GGA-PBE",
  "state": "optimized geometry",
  "lattice": [[5.8022, 0.0129, 0.0107], [3.7071, 4.4635, -0.0107], [-4.3346, -3.1305, 2.2532]],
  "species": ["Al", "Al", "Ni", "P"],
  "frac_coords": [[0.0088, 0.0088, 0.0000], [0.2987, 0.7987, 0.5000], [0.5012, 0.5012, 0.0000], [0.6913, 0.1913, 0.5000]],
  "formation_energy_ev_per_atom": -0.217
}


{
  "formula": "Al3NiP",
  "functional": "GGA-PBE",
  "state": "optimized geometry",
  "lattice": [[4.4590, 0.0000, 0.0000], [0.0000, 4.4590, 0.0000], [0.0000, 0.0000, 4.4590]],
  "species": ["P", "Ni", "Al", "Al", "Al"],
  "frac_coords": [[0.5000, 0.5000, 0.5000], [0.0000, 0.0000, 0.0000], [0.0000, 0.0000, 0.5000], [0.5000, 0.0000, 0.0000], [0.0000, 0.5000, 0.0000]],
  "formation_energy_ev_per_atom": 0.114,
  "relative_energy_mev_per_atom": 0
}


{
  "formula": "AlNiP",
  "functional": "GGA-PBE",
  "state": "optimized geometry",
  "lattice": [[3.7342, 0.0000, 0.0000], [-1.8671, 3.2339, 0.0000], [0.0000, 0.0000, 3.4020]],
  "species": ["Ni", "Al", "P"],
  "frac_coords": [[0.6667, 0.3333, 0.4998], [0.0000, 0.0000, 0.0000], [0.3333, 0.6667, 0.5000]],
  "formation_energy_ev_per_atom": -0.283
}